# 1
# LiPu2As (GGA-PBE, relaxed)
# **VASP energy**: -8.82 eV/atom
# **Formation energy**: -0.0116 eV/atom
# **Total magnetization**: 1.29 μB per formula unit
# **DOS(E_F)**: 7.06 states/eV/cell
data_LiPu2As
_chemical_formula_sum 'Li1 Pu2 As1'
_symmetry_space_group_name_H-M 'P 4/m m m'
_symmetry_Int_Tables_number 123
_symmetry_space_group_name_Hall '-P 4 2'
_cell_length_a 3.5735
_cell_length_b 3.5735
_cell_length_c 4.9602
_cell_angle_alpha 90.00
_cell_angle_beta 90.00
_cell_angle_gamma 90.00
loop_
_atom_site_label
_atom_site_fract_x
_atom_site_fract_y
_atom_site_fract_z
Li1 0.0000 0.0000 0.0000
Pu1 0.0000 0.5000 0.5000
As1 0.5000 0.5000 0.0000

# 2
# Li2Pu3As4 (GGA-PBE, relaxed)
# **VASP energy**: -8.08 eV/atom
# **Formation energy**: -0.8141 eV/atom
# **Total magnetization**: 15.55 μB per formula unit
# **DOS(E_F)**: 55.42 states/eV/cell
data_Li2Pu3As4
_chemical_formula_sum 'Li4 Pu6 As8'
_symmetry_space_group_name_H-M 'C 1 2/m 1'
_symmetry_Int_Tables_number 12
_symmetry_space_group_name_Hall '-C 2y'
_cell_length_a 14.8508
_cell_length_b 4.2125
_cell_length_c 6.6093
_cell_angle_alpha 90.00
_cell_angle_beta 110.99
_cell_angle_gamma 90.00
loop_
_atom_site_label
_atom_site_fract_x
_atom_site_fract_y
_atom_site_fract_z
Li1 0.1753 0.0000 0.4920
Pu1 0.0000 0.5000 0.5000
Pu2 0.1394 0.5000 0.0793
As1 0.0051 0.0000 0.2000
As2 0.2127 0.5000 0.7249

# 3
# LiPuAs (GGA-PBE, relaxed)
# **VASP energy**: -7.74 eV/atom
# **Formation energy**: -0.7714 eV/atom
# **Total magnetization**: 5.97 μB per formula unit
# **Distance to the lowest polymorph of the same formula**: 0 meV/atom
# **DOS(E_F)**: 18.40 states/eV/cell
data_LiPuAs
_chemical_formula_sum 'Li2 Pu2 As2'
_symmetry_space_group_name_H-M 'P 4/n m m'
_symmetry_Int_Tables_number 129
_cell_length_a 4.0700
_cell_length_b 4.0700
_cell_length_c 7.3931
_cell_angle_alpha 90.00
_cell_angle_beta 90.00
_cell_angle_gamma 90.00
loop_
_symmetry_equiv_pos_as_xyz
'x,y,z'
'-x,-y,-z'
'-y+1/2,x,z'
'y+1/2,-x,-z'
'-x+1/2,-y+1/2,z'
'x+1/2,y+1/2,-z'
'y,-x+1/2,z'
'-y,x+1/2,-z'
'x+1/2,-y,-z'
'-x+1/2,y,z'
'-y,-x,-z'
'y,x,z'
'-x,y+1/2,-z'
'x,-y+1/2,z'
'y+1/2,x+1/2,-z'
'-y+1/2,-x+1/2,z'
loop_
_atom_site_label
_atom_site_fract_x
_atom_site_fract_y
_atom_site_fract_z
Li1 0.2500 0.7500 0.0000
Pu1 0.2500 0.2500 0.3594
As1 0.2500 0.2500 0.7708

# 4
# LiPuAs (GGA-PBE, relaxed)
# **VASP energy**: -7.67 eV/atom
# **Formation energy**: -0.7021 eV/atom
# **Total magnetization**: 6.00 μB per formula unit
# **Distance to the lowest polymorph of the same formula**: 69 meV/atom
# **DOS(E_F)**: 9.57 states/eV/cell
data_LiPuAs
_chemical_formula_sum 'Li1 Pu1 As1'
_symmetry_space_group_name_H-M 'P -6 m 2'
_symmetry_Int_Tables_number 187
_symmetry_space_group_name_Hall 'P -6 2'
_cell_length_a 4.2154
_cell_length_b 4.2154
_cell_length_c 3.9479
_cell_angle_alpha 90.00
_cell_angle_beta 90.00
_cell_angle_gamma 120.00
loop_
_atom_site_label
_atom_site_fract_x
_atom_site_fract_y
_atom_site_fract_z
Li1 0.0000 0.0000 0.0000
Pu1 0.6667 0.3333 0.5000
As1 0.3333 0.6667 0.0000

# 5
# LiPuAs (GGA-PBE, relaxed)
# **VASP energy**: -7.39 eV/atom
# **Formation energy**: -0.4273 eV/atom
# **Total magnetization**: 6.00 μB per formula unit
# **Distance to the lowest polymorph of the same formula**: 344 meV/atom
# **DOS(E_F)**: 17.98 states/eV/cell
data_LiPuAs
_chemical_formula_sum 'Li2 Pu2 As2'
_symmetry_space_group_name_H-M 'I 4 m m'
_symmetry_Int_Tables_number 107
_symmetry_space_group_name_Hall 'I 4 -2'
_cell_length_a 3.9458
_cell_length_b 3.9458
_cell_length_c 8.2599
_cell_angle_alpha 90.00
_cell_angle_beta 90.00
_cell_angle_gamma 90.00
loop_
_atom_site_label
_atom_site_fract_x
_atom_site_fract_y
_atom_site_fract_z
Li1 0.0000 0.0000 0.0000
Pu1 0.0000 0.0000 0.3323
As1 0.0000 0.0000 0.6886

# 6
# LiPu2As2 (GGA-PBE, relaxed)
# **VASP energy**: -8.78 eV/atom
# **Formation energy**: -0.8054 eV/atom
# **Total magnetization**: 11.00 μB per formula unit
# **DOS(E_F)**: 80.42 states/eV/cell
data_LiPu2As2
_chemical_formula_sum 'Li4 Pu8 As8'
_symmetry_space_group_name_H-M 'I b a m'
_symmetry_Int_Tables_number 72
_symmetry_space_group_name_Hall '-I 2 2c'
_cell_length_a 6.1398
_cell_length_b 12.1517
_cell_length_c 5.9917
_cell_angle_alpha 90.00
_cell_angle_beta 90.00
_cell_angle_gamma 90.00
loop_
_atom_site_label
_atom_site_fract_x
_atom_site_fract_y
_atom_site_fract_z
Li1 0.0000 0.0000 0.2500
Pu1 0.2102 0.3598 0.0000
As1 0.2327 0.1174 0.0000

# 7
# Li2Pu3As3 (GGA-PBE, relaxed)
# **VASP energy**: -8.33 eV/atom
# **Formation energy**: -0.7304 eV/atom
# **Total magnetization**: 16.97 μB per formula unit
# **DOS(E_F)**: 55.03 states/eV/cell
data_Li2Pu3As3
_chemical_formula_sum 'Li4 Pu6 As6'
_symmetry_space_group_name_H-M 'P 63/m c m'
_symmetry_Int_Tables_number 193
_symmetry_space_group_name_Hall '-P 6c 2'
_cell_length_a 8.5118
_cell_length_b 8.5118
_cell_length_c 5.8777
_cell_angle_alpha 90.00
_cell_angle_beta 90.00
_cell_angle_gamma 120.00
loop_
_atom_site_label
_atom_site_fract_x
_atom_site_fract_y
_atom_site_fract_z
Li1 0.3333 0.6667 0.0000
Pu1 0.0000 0.2931 0.2500
As1 0.0000 0.3681 0.7500

# 8
# LiPu2As3Rh4 (GGA-PBE, relaxed)
# **VASP energy**: -8.10 eV/atom
# **Formation energy**: -0.7110 eV/atom
# **Total magnetization**: 10.33 μB per formula unit
# **DOS(E_F)**: 24.47 states/eV/cell
data_LiPu2As3Rh4
_chemical_formula_sum 'Li1 Pu2 As3 Rh4'
_symmetry_space_group_name_H-M 'P -4 m 2'
_symmetry_Int_Tables_number 115
_symmetry_space_group_name_Hall 'P -4 -2'
_cell_length_a 4.0440
_cell_length_b 4.0440
_cell_length_c 10.7796
_cell_angle_alpha 90.00
_cell_angle_beta 90.00
_cell_angle_gamma 90.00
loop_
_atom_site_label
_atom_site_fract_x
_atom_site_fract_y
_atom_site_fract_z
Li1 0.0000 0.0000 0.0000
Pu1 0.0000 0.5000 0.7588
As1 0.0000 0.5000 0.3661
As2 0.5000 0.5000 0.0000
Rh1 0.0000 0.0000 0.5000
Rh2 0.0000 0.5000 0.1431
Rh3 0.5000 0.5000 0.5000

# 9
# LiPuAs2Rh (GGA-PBE, relaxed)
# **VASP energy**: -7.16 eV/atom
# **Formation energy**: -0.5801 eV/atom
# **Total magnetization**: 5.55 μB per formula unit
# **DOS(E_F)**: 41.53 states/eV/cell
data_LiPuAs2Rh
_chemical_formula_sum 'Li4 Pu4 As8 Rh4'
_symmetry_space_group_name_H-M 'C m m e'
_symmetry_Int_Tables_number 67
_symmetry_space_group_name_Hall '-C 2a 2'
_cell_length_a 5.5010
_cell_length_b 12.7772
_cell_length_c 5.3498
_cell_angle_alpha 90.00
_cell_angle_beta 90.00
_cell_angle_gamma 90.00
loop_
_atom_site_label
_atom_site_fract_x
_atom_site_fract_y
_atom_site_fract_z
Li1 0.0000 0.0000 0.0000
Pu1 0.0000 0.2500 0.2316
As1 0.0000 0.1391 0.7075
Rh1 0.2500 0.0000 0.5000

# 10
# Li4Pu3AsS8 (GGA-PBE, relaxed)
# **VASP energy**: -6.80 eV/atom
# **Total magnetization**: 15.00 μB per formula unit
# **E_form (uncorrected)**: -1.280 eV/atom
# **DOS(E_F)**: 78.66 states/eV/cell
data_Li4Pu3AsS8
_chemical_formula_sum 'Li12 Pu9 As3 S24'
_symmetry_space_group_name_H-M 'R -3 m'
_symmetry_Int_Tables_number 166
_symmetry_space_group_name_Hall '-R 3 2"'
_cell_length_a 7.8256
_cell_length_b 7.8256
_cell_length_c 18.2470
_cell_angle_alpha 90.00
_cell_angle_beta 90.00
_cell_angle_gamma 120.00
loop_
_atom_site_label
_atom_site_fract_x
_atom_site_fract_y
_atom_site_fract_z
Li1 0.0000 0.0000 0.0000
Li2 0.0000 0.5000 0.0000
Pu1 0.0000 0.5000 0.5000
As1 0.0000 0.0000 0.5000
S1 0.0000 0.0000 0.2502
S2 0.0129 0.5065 0.2492

# 11
# Li2PuAsSe4 (GGA-PBE, relaxed)
# **VASP energy**: -5.52 eV/atom
# **Total magnetization**: 5.00 μB per formula unit
# **E_form (uncorrected)**: -0.928 eV/atom
# **DOS(E_F)**: 11.38 states/eV/cell
data_Li2PuAsSe4
_chemical_formula_sum 'Li2 Pu1 As1 Se4'
_symmetry_space_group_name_H-M 'P 1 2/m 1'
_symmetry_Int_Tables_number 10
_symmetry_space_group_name_Hall '-P 2y'
_cell_length_a 6.8204
_cell_length_b 4.0239
_cell_length_c 6.9683
_cell_angle_alpha 90.00
_cell_angle_beta 109.98
_cell_angle_gamma 90.00
loop_
_atom_site_label
_atom_site_fract_x
_atom_site_fract_y
_atom_site_fract_z
Li1 0.0000 0.0000 0.0000
Li2 0.0000 0.5000 0.5000
Pu1 0.5000 0.0000 0.5000
As1 0.5000 0.5000 0.0000
Se1 0.2472 0.5000 0.2368
Se2 0.2534 0.0000 0.7657

# 12
# LiPuTh2As4 (GGA-PBE, relaxed)
# **VASP energy**: -7.26 eV/atom
# **Formation energy**: -1.0459 eV/atom
# **Total magnetization**: 4.93 μB per formula unit
# **DOS(E_F)**: 13.13 states/eV/cell
data_LiPuTh2As4
_chemical_formula_sum 'Li1 Pu1 Th2 As4'
_symmetry_space_group_name_H-M 'P 1 2/m 1'
_symmetry_Int_Tables_number 10
_symmetry_space_group_name_Hall '-P 2y'
_cell_length_a 7.1356
_cell_length_b 4.2570
_cell_length_c 7.2982
_cell_angle_alpha 90.00
_cell_angle_beta 109.75
_cell_angle_gamma 90.00
loop_
_atom_site_label
_atom_site_fract_x
_atom_site_fract_y
_atom_site_fract_z
Li1 0.0000 0.0000 0.0000
Pu1 0.0000 0.5000 0.5000
Th1 0.5000 0.0000 0.5000
Th2 0.5000 0.5000 0.0000
As1 0.2420 0.0000 0.7479
As2 0.2471 0.5000 0.2513

Q: Which of these has the lowest total magnetization?
A: LiPu2As

Q: Which of these has the lowest total magnetization?
A: LiPu2As

Q: Among the records above, which one has the highest DOS(E_F)?
A: LiPu2As2

Q: VASP energy of number 6 (LiPu2As2)?
A: -8.78 eV/atom